Entry from Alexandria via LeMat-Bulk: an optimized crystal structure of PrNd5Y5 (PBE-GGA).

VASP energy (eV per atom): -5.286
Distance to the lowest polymorph of the same formula (eV/atom): 0.000
ΔH_f (0 K) (kJ per mole of atoms): 24.5
ρ (g/cm3): 5.67

Lattice parameters (Å, degrees): 18.7154 6.1202 7.0347 90.00 108.11 90.00
Space group C2/m (No. 12)
Asymmetric unit:
Pr1 0.0000 0.0000 0.0000 [2 per cell]
Nd1 0.0000 0.0000 0.5000 [2 per cell]
Nd2 0.1264 0.5000 0.6488 [4 per cell]
Nd3 0.1726 0.5000 0.1933 [4 per cell]
Y1 0.0000 0.5000 0.0000 [2 per cell]
Y2 0.1742 0.0000 0.9212 [4 per cell]
Y3 0.1789 0.0000 0.4169 [4 per cell]